Bi2SeO5: relaxed, PBE-GGA.

It has space group Aem2 (No. 39), with a = 11.6150 Å, b = 16.6431 Å, c = 5.5646 Å, α = 90.00°, β = 90.00° and γ = 90.00°. Symmetry generates all atoms from Bi at (0.1092, 0.0847, 0.0000), Bi at (0.1145, 0.2500, 0.5340), Bi at (0.3701, 0.2500, 0.0084), Se at (0.3569, 0.0896, 0.5008), O at (0.0000, 0.0000, 0.2799), O at (0.0081, 0.1622, 0.7366), O at (0.1984, 0.2500, 0.8994), O at (0.2364, 0.0518, 0.6400), O at (0.2901, 0.1573, 0.3028) and O at (0.4202, 0.1513, 0.7152).

The value obtained for the polymorph energy (0 for the lowest one) is 0.00 eV per formula unit. As for the formation energy from raw total energies: -1.144 eV/atom. As for the calculated total energy: -5.65 eV/atom.